Record 1
DFT (PBE) results for crystalline Pm3Al2Cd4 at its relaxed geometry.

The total energy is -57.4 eV for the cell shown. Its formation enthalpy at 0 K is -0.368 eV per atom. The calculation puts the calculated density at 7.0 g cm⁻³.

The structure belongs to space group C2/m (No. 12); the cell edges are 11.152, 4.878 and 9.188 Å and the angles 90.00°, 116.41° and 90.00°. The asymmetric unit holds Pm at (0.000, 0.000, 0.000), Pm at (0.165, 0.500, 0.669), Al at (0.110, 0.500, 0.277), Cd at (0.076, 0.000, 0.405) and Cd at (0.203, 0.500, 0.042).



Record 2
DFT (PBE) results for crystalline Pm2Al3Cd at its relaxed geometry.

The total energy is -47.8 eV for the cell shown. Its formation enthalpy at 0 K is -0.374 eV per atom. For the distance to the lowest polymorph of the same formula, the calculation gives 0.37 eV per formula unit. The calculation puts the calculated density at 5.4 g cm⁻³.

The structure belongs to space group Imm2 (No. 44); the cell edges are 4.040, 4.600 and 15.919 Å and the angles 90.00°, 90.00° and 90.00°. The asymmetric unit holds Pm at (0.000, 0.000, 0.000), Pm at (0.000, 0.500, 0.276), Al at (0.000, 0.000, 0.434), Al at (0.000, 0.500, 0.681), Al at (0.000, 0.500, 0.841) and Cd at (0.000, 0.000, 0.600).